[1]
First-principles (GGA-PBE) data for an optimized crystal structure of Rb4PuCu3Cl12, as listed in Alexandria.

Cell: 10.172 10.172 10.172 Å, 90.00 90.00 90.00°
Space group Im-3m (No. 229)
One atom of each set of equivalent atoms:
Rb1 0.250 0.250 0.250 x8
Pu1 0.000 0.000 0.000 x2
Cu1 0.000 0.000 0.500 x6
Cl1 0.000 0.000 0.256 x12
Cl2 0.000 0.250 0.500 x12

Spin magnetization (μB/atom): 0.174
DOS at the Fermi energy (states/eV/cell): 24.14
Calculated total energy (eV per cell): -160.0
Raw formation energy (eV/f.u.): -27.3



[2]
First-principles (GGA-PBE) data for an optimized crystal structure of LaNb2Pd2, as listed in Alexandria.

Cell: 8.215 8.215 2.922 Å, 90.00 90.00 90.00°
Space group P4/mbm (No. 127)
One atom of each set of equivalent atoms:
La1 0.000 0.000 0.000 x2
Nb1 0.115 0.385 0.000 x4
Pd1 0.178 0.678 0.500 x4

Energy of formation from the pure elements (eV per atom): -0.10
Energy above the most stable polymorph in this dataset (meV/atom): 141
Spin magnetization (μB/atom): 0.000
DOS at the Fermi energy (states/eV/cell): 14.30
Calculated total energy (eV per cell): -71.9



[3]
First-principles (GGA-PBE) data for an optimized crystal structure of MoP2PtCl, as listed in Alexandria.

Cell: 4.747 4.747 4.517 Å, 90.00 90.00 90.00°
Space group P4/mmm (No. 123)
One atom of each set of equivalent atoms:
Mo1 0.000 0.000 0.000 x1
P1 0.000 0.500 0.000 x2
Pt1 0.500 0.500 0.500 x1
Cl1 0.000 0.000 0.500 x1

Energy above the most stable polymorph in this dataset (meV/atom): 0
Spin magnetization (μB/atom): 0.000
DOS at the Fermi energy (states/eV/cell): 3.96
Calculated total energy (eV per cell): -25.9
Raw formation energy (eV/f.u.): 3.7



[4]
First-principles (GGA-PBE) data for an optimized crystal structure of LiSc2Mn, as listed in Alexandria.

Cell: 6.730 6.730 6.730 Å, 90.00 90.00 90.00°
Space group F-43m (No. 216)
One atom of each set of equivalent atoms:
Li1 0.000 0.000 0.000 x4
Sc1 0.000 0.000 0.500 x4
Sc2 0.250 0.250 0.250 x4
Mn1 0.250 0.250 0.750 x4

Energy of formation from the pure elements (eV per atom): 0.29
Spin magnetization (μB/atom): 0.831
DOS at the Fermi energy (states/eV/cell): 18.59
Calculated total energy (eV per cell): -90.3



[5]
First-principles (GGA-PBE) data for an optimized crystal structure of Ba4AlAu, as listed in Alexandria.

Cell: 10.032 10.032 10.032 Å, 90.00 90.00 90.00°
Space group F-43m (No. 216)
One atom of each set of equivalent atoms:
Ba1 0.125 0.125 0.125 x16
Al1 0.250 0.250 0.750 x4
Au1 0.000 0.000 0.500 x4

Energy of formation from the pure elements (eV per atom): 0.48
Spin magnetization (μB/atom): 0.000
DOS at the Fermi energy (states/eV/cell): 36.99
Calculated total energy (eV per cell): -47.2



[6]
First-principles (GGA-PBE) data for an optimized crystal structure of MgTi2Zn, as listed in Alexandria.

Cell: 2.8147 2.8147 31.3462 Å, 90.00 90.00 120.00°
Space group R-3m (No. 166, hexagonal axes)
One atom of each set of equivalent atoms:
Mg1 0.0000 0.0000 0.0000 x3
Ti1 0.0000 0.0000 0.0918 x6
Zn1 0.0000 0.0000 0.5000 x3

Energy of formation from the pure elements (eV per atom): 0.23
Energy above the most stable polymorph in this dataset (meV/atom): 219
Spin magnetization (μB/atom): 0.000
DOS at the Fermi energy (states/eV/cell): 9.87
Calculated total energy (eV per cell): -53.2



[7]
First-principles (GGA-PBE) data for an optimized crystal structure of KCd6Sn2, as listed in Alexandria.

Cell: 4.754 4.754 10.535 Å, 90.00 90.00 90.00°
Space group P4/mmm (No. 123)
One atom of each set of equivalent atoms:
K1 0.000 0.000 0.000 x1
Cd1 0.000 0.000 0.500 x1
Cd2 0.000 0.500 0.307 x4
Cd3 0.500 0.500 0.500 x1
Sn1 0.500 0.500 0.140 x2

Energy of formation from the pure elements (eV per atom): -0.05
Spin magnetization (μB/atom): 0.000
DOS at the Fermi energy (states/eV/cell): 4.34
Calculated total energy (eV per cell): -15.1



[8]
First-principles (GGA-PBE) data for an optimized crystal structure of Cr2CoAsRh, as listed in Alexandria.

Cell: 4.346 4.346 4.534 Å, 90.00 90.00 90.00°
Space group P4/mmm (No. 123)
One atom of each set of equivalent atoms:
Cr1 0.000 0.500 0.000 x2
Co1 0.000 0.000 0.000 x1
As1 0.500 0.500 0.500 x1
Rh1 0.000 0.000 0.500 x1

Energy of formation from the pure elements (eV per atom): 0.94
Spin magnetization (μB/atom): 0.960
DOS at the Fermi energy (states/eV/cell): 6.90
Calculated total energy (eV per cell): -33.7



[9]
First-principles (GGA-PBE) data for an optimized crystal structure of Li2AgSnRh, as listed in Alexandria.

Cell: 4.417 4.417 5.125 Å, 90.00 90.00 90.00°
Space group P4/mmm (No. 123)
One atom of each set of equivalent atoms:
Li1 0.000 0.500 0.000 x2
Ag1 0.000 0.000 0.000 x1
Sn1 0.000 0.000 0.500 x1
Rh1 0.500 0.500 0.500 x1

Energy of formation from the pure elements (eV per atom): 0.42
Spin magnetization (μB/atom): 0.000
DOS at the Fermi energy (states/eV/cell): 2.34
Calculated total energy (eV per cell): -15.9



[10]
First-principles (GGA-PBE) data for an optimized crystal structure of Zn2WBr, as listed in Alexandria.

Cell: 10.750 2.924 4.577 Å, 90.00 101.24 90.00°
Space group C2/m (No. 12)
One atom of each set of equivalent atoms:
Zn1 0.225 0.000 0.220 x4
W1 0.000 0.500 0.000 x2
Br1 0.000 0.000 0.500 x2

Energy above the most stable polymorph in this dataset (meV/atom): 380
Spin magnetization (μB/atom): 0.000
DOS at the Fermi energy (states/eV/cell): 5.31
Calculated total energy (eV per cell): -28.2
Raw formation energy (eV/f.u.): 3.1



[11]
First-principles (GGA-PBE) data for an optimized crystal structure of AcCe2PmSe4, as listed in Alexandria.

Cell: 7.402 4.252 7.434 Å, 90.00 109.17 90.00°
Space group P2/m (No. 10)
One atom of each set of equivalent atoms:
Ac1 0.000 0.000 0.000 x1
Ce1 0.000 0.500 0.500 x1
Ce2 0.500 0.000 0.500 x1
Pm1 0.500 0.500 0.000 x1
Se1 0.257 0.000 0.746 x2
Se2 0.262 0.500 0.260 x2

Spin magnetization (μB/atom): 0.258
DOS at the Fermi energy (states/eV/cell): 13.70
Calculated total energy (eV per cell): -49.2
Raw formation energy (eV/f.u.): -14.6



[12]
First-principles (GGA-PBE) data for an optimized crystal structure of SrNiTe, as listed in Alexandria.

Cell: 4.3812 4.3812 8.9887 Å, 90.00 90.00 120.00°
Space group P6_3/mmc (No. 194)
One atom of each set of equivalent atoms:
Sr1 0.0000 0.0000 0.0000 x2
Ni1 0.3333 0.6667 0.2500 x2
Te1 0.3333 0.6667 0.7500 x2

Spin magnetization (μB/atom): 0.000
DOS at the Fermi energy (states/eV/cell): 0.99
Calculated total energy (eV per cell): -26.3
Raw formation energy (eV/f.u.): -2.5



[13]
First-principles (GGA-PBE) data for an optimized crystal structure of HoMg4Cd, as listed in Alexandria.

Cell: 8.491 4.397 7.828 Å, 90.00 90.00 90.00°
Space group Pmma (No. 51)
One atom of each set of equivalent atoms:
Ho1 0.250 0.000 0.125 x2
Mg1 0.000 0.000 0.500 x2
Mg2 0.047 0.500 0.815 x4
Mg3 0.250 0.500 0.442 x2
Cd1 0.250 0.000 0.730 x2

Energy of formation from the pure elements (eV per atom): -0.06
Energy above the most stable polymorph in this dataset (meV/atom): 3
Spin magnetization (μB/atom): 0.000
DOS at the Fermi energy (states/eV/cell): 4.40
Calculated total energy (eV per cell): -24.5